# PBE-GGA Sr2CdPt, optimized geometry
# Energy   -3.06 eV per atom
# Total moment   0.000 μB/atom
# DOS(E_F)   0.691 states/eV/atom
# Energy of formation from the pure elements   -0.480 eV/atom
data_Sr2CdPt
_cell_length_a 7.575
_cell_length_b 7.615
_cell_length_c 3.945
_cell_angle_alpha 90.00
_cell_angle_beta 90.18
_cell_angle_gamma 90.00
_space_group_name_H-M_alt 'C 1 2/m 1'
_space_group_IT_number 12
loop_
_space_group_symop_operation_xyz
'x,y,z'
'-x,-y,-z'
'-x,y,-z'
'x,-y,z'
'x+1/2,y+1/2,z'
'-x+1/2,-y+1/2,-z'
'-x+1/2,y+1/2,-z'
'x+1/2,-y+1/2,z'
loop_
_atom_site_label
_atom_site_type_symbol
_atom_site_fract_x
_atom_site_fract_y
_atom_site_fract_z
Sr1 Sr 0.250 0.250 0.000
Cd1 Cd 0.000 0.000 0.500
Pt1 Pt 0.000 0.500 0.500